Compound: KLiPbO2
Source: Alexandria via LeMat-Bulk
Functional: PBEsol
Structure: relaxed

a = 4.5740 Å, b = 4.5740 Å, c = 4.8657 Å
α = 90.00°, β = 90.00°, γ = 90.00°
Last column: nearest neighbours and their distance in Å.
Positions (direct):
K 0.0000 0.0000 0.0000  4 Li 3.23, 8 O 3.34
Li 0.5000 0.5000 0.0000  2 Pb 2.43
Pb 0.5000 0.5000 0.5000  4 O 2.29, 2 Li 2.43
O 0.0000 0.5000 0.5000  2 Pb 2.29
O 0.5000 0.0000 0.5000  2 Pb 2.29

## Properties
The calculation puts the magnetic moment at 0.00 μB per formula unit. The calculated volume comes out at 102 Å³/cell. The energy relative to the elements, uncorrected is -378 meV per atom.

---

Compound: KSr3
Source: Alexandria via LeMat-Bulk
Functional: PBEsol
Structure: relaxed

a = 7.9713 Å, b = 7.9713 Å, c = 7.9713 Å
α = 117.09°, β = 117.09°, γ = 117.09°
Last column: nearest neighbours and their distance in Å.
Positions (direct):
K 0.0000 0.0000 0.0000  2 K 4.12, 6 Sr 4.16
Sr 0.0000 0.5000 0.5000  6 Sr 4.12-4.16, 2 K 4.16
Sr 0.5000 0.0000 0.5000  6 Sr 4.12-4.16, 2 K 4.16
Sr 0.5000 0.5000 0.0000  6 Sr 4.12-4.16, 2 K 4.16

## Properties
The calculation puts the magnetic moment at 0.00 μB per formula unit. The calculated volume comes out at 220 Å³/cell. Its energy is -1.577 eV per atom.

---

Compound: AlTc2Ir
Source: Alexandria via LeMat-Bulk
Functional: PBEsol
Structure: relaxed

a = 2.7236 Å, b = 2.7236 Å, c = 8.8994 Å
α = 99.00°, β = 99.00°, γ = 59.98°
Last column: nearest neighbours and their distance in Å.
Positions (direct):
Al 0.0000 0.0000 0.0000  6 Tc 2.69-2.71, 6 Al 2.72
Tc 0.2512 0.2512 0.7494  3 Ir 2.69, 3 Al 2.69-2.71, 6 Tc 2.72
Tc 0.7488 0.7488 0.2506  3 Ir 2.69, 3 Al 2.69-2.71, 6 Tc 2.72
Ir 0.5000 0.5000 0.5000  6 Tc 2.69, 6 Ir 2.72

## Properties
The calculation puts the magnetic moment at 0.00 μB per formula unit. The calculated volume comes out at 56 Å³/cell. Its energy is -9.244 eV per atom.

---

Among the records above, which one has the lowest calculated volume? AlTc2Ir

---

Copy entry 3 word for word.
Compound: AlTc2Ir
Source: Alexandria via LeMat-Bulk
Functional: PBEsol
Structure: relaxed

a = 2.7236 Å, b = 2.7236 Å, c = 8.8994 Å
α = 99.00°, β = 99.00°, γ = 59.98°
Last column: nearest neighbours and their distance in Å.
Positions (direct):
Al 0.0000 0.0000 0.0000  6 Tc 2.69-2.71, 6 Al 2.72
Tc 0.2512 0.2512 0.7494  3 Ir 2.69, 3 Al 2.69-2.71, 6 Tc 2.72
Tc 0.7488 0.7488 0.2506  3 Ir 2.69, 3 Al 2.69-2.71, 6 Tc 2.72
Ir 0.5000 0.5000 0.5000  6 Tc 2.69, 6 Ir 2.72

## Properties
The calculation puts the magnetic moment at 0.00 μB per formula unit. The calculated volume comes out at 56 Å³/cell. Its energy is -9.244 eV per atom.

---

Which of these has the lowest calculated volume? AlTc2Ir